No. 1
IrS2 | PBEsol | relaxed

Output
- Symmetry: Pnma, No. 62
- D(E_F): 0.211 states/eV/atom
- Uncorrected formation energy: -0.44 eV per atom

a = 3.5697 Å, b = 4.7067 Å, c = 11.7637 Å
α = 90.00°, β = 90.00°, γ = 90.00°
Fractional coordinates of all 12 atoms:
1 Ir 0.7500 0.4710 0.3653
2 Ir 0.7500 0.0290 0.8653
3 Ir 0.2500 0.9710 0.1347
4 Ir 0.2500 0.5290 0.6347
5 S 0.7500 0.2662 0.5522
6 S 0.7500 0.8085 0.6911
7 S 0.2500 0.3085 0.8089
8 S 0.2500 0.7338 0.4478
9 S 0.7500 0.2338 0.0522
10 S 0.2500 0.1915 0.3089
11 S 0.2500 0.7662 0.9478
12 S 0.7500 0.6915 0.1911


No. 2
Y2RuSeO | PBEsol | relaxed

Output
- Symmetry: P4/mmm, No. 123
- D(E_F): 0.646 states/eV/atom
- Uncorrected formation energy: -0.84 eV per atom

a = 4.4048 Å, b = 4.5355 Å, c = 4.5355 Å
α = 90.00°, β = 90.00°, γ = 90.00°
Fractional coordinates of all 5 atoms:
1 Y 0.0000 0.0000 0.5000
2 Y 0.0000 0.5000 0.0000
3 O 0.0000 0.0000 0.0000
4 Ru 0.5000 0.5000 0.5000
5 Se 0.5000 0.0000 0.0000


No. 3
SrCrAsBr2 | PBEsol | relaxed

Output
- Symmetry: P4/mmm, No. 123
- D(E_F): 1.976 states/eV/atom
- Uncorrected formation energy: 0.24 eV per atom

a = 5.6737 Å, b = 5.6737 Å, c = 6.0320 Å
α = 90.00°, β = 90.00°, γ = 90.00°
Site moments in Bohr magnetons follow the coordinates.
Fractional coordinates of all 5 atoms:
1 Cr 0.5000 0.5000 0.5000  4.37
2 Br 0.0000 0.5000 0.0000  0.06
3 Br 0.5000 0.0000 0.0000  0.06
4 As 0.0000 0.0000 0.5000  0.57
5 Sr 0.0000 0.0000 0.0000  0.02


No. 4
Cs2BeSiPd | PBEsol | relaxed

Output
- Symmetry: P4/mmm, No. 123
- D(E_F): 0.924 states/eV/atom
- Uncorrected formation energy: 0.65 eV per atom

a = 4.5502 Å, b = 6.6354 Å, c = 6.6354 Å
α = 90.00°, β = 90.00°, γ = 90.00°
Fractional coordinates of all 5 atoms:
1 Cs 0.0000 0.5000 0.0000
2 Cs 0.0000 0.0000 0.5000
3 Pd 0.0000 0.0000 0.0000
4 Be 0.5000 0.5000 0.5000
5 Si 0.5000 0.0000 0.0000


| no. | total DFT energy (no corrections) (eV per atom) |
| --- | --- |
| 1 | -6.6377 |
| 2 | -7.4280 |
| 3 | -3.9436 |
| 4 | -2.8632 |